A plane-wave DFT calculation with PBE with a Hubbard U was carried out for a geometry-optimized SmEuCrSnO6 structure.

Total magnetic moment   10.00 μB per formula unit
E_tot   -7.9227 eV/atom
D(E_F)   12.249 states/eV/cell

abc: 5.6574 5.6574 5.6574
angles: 60.00 60.00 60.00
Closest atoms and distances in Å follow each position.
Fractional positions:
Sm 0.2500 0.2500 0.2500  12 O 2.83
Eu 0.7500 0.7500 0.7500  12 O 2.83
Cr 0.0000 0.0000 0.0000  6 O 1.97
Sn 0.5000 0.5000 0.5000  6 O 2.03
O 0.2465 0.7535 0.2465  1 Cr 1.97, 1 Sn 2.03
O 0.7535 0.2465 0.7535  1 Cr 1.97, 1 Sn 2.03
O 0.2465 0.7535 0.7535  1 Cr 1.97, 1 Sn 2.03
O 0.7535 0.2465 0.2465  1 Cr 1.97, 1 Sn 2.03
O 0.2465 0.2465 0.7535  1 Cr 1.97, 1 Sn 2.03
O 0.7535 0.7535 0.2465  1 Cr 1.97, 1 Sn 2.03